Entry 1:
Material: Tb4Sb3Pb
Method: DFT, PBE
State: optimized geometry

Formation energy without anion corrections: -0.94 eV/atom

POSCAR file:
```
Tb4Sb3Pb
1.0
-2.6935 -4.5749 -3.2917
5.6298 -2.0125 -1.8096
0.2648 -3.7469 4.9910
Pb Sb Tb
1 3 4
direct
0.0000 0.0000 0.0000
0.0000 0.5000 0.5000
0.5000 0.0000 0.5000
0.5000 0.5000 0.0000
0.5000 0.0000 0.0000
0.0000 0.5000 0.0000
0.0000 0.0000 0.5000
0.5000 0.5000 0.5000
```

Entry 2:
Material: TbSbPb2
Method: DFT, PBE
State: optimized geometry

Formation energy without anion corrections: 0.19 eV/atom

POSCAR file:
```
TbSbPb2
1.0
-1.7898 1.9717 -2.2991
-0.7173 -1.2533 -3.2080
-10.9898 -4.2743 2.1981
Pb Sb Tb
2 1 1
direct
0.0899 0.0899 0.7304
0.9101 0.9101 0.2696
0.5000 0.5000 0.5000
0.0000 0.0000 0.0000
```

Entry 3:
Material: Tb10Sb3Pb3
Method: DFT, PBE
State: optimized geometry

Formation energy without anion corrections: -0.74 eV/atom

POSCAR file:
```
Tb10Sb3Pb3
1.0
6.4863 0.0000 0.0000
0.0000 7.8565 -4.5360
0.0000 0.0000 9.0719
Tb Sb Pb
10 3 3
direct
0.2466 0.6667 0.3333
0.2466 0.3333 0.6667
0.7534 0.3333 0.6667
0.7534 0.6667 0.3333
0.5000 0.0000 0.7590
0.5000 0.7590 0.0000
0.5000 0.2410 0.2410
0.0000 0.0000 0.2420
0.0000 0.2420 0.0000
0.0000 0.7580 0.7580
0.0000 0.0000 0.6100
0.0000 0.6100 0.0000
0.0000 0.3900 0.3900
0.5000 0.0000 0.3926
0.5000 0.3926 0.0000
0.5000 0.6074 0.6074
```

Entry 4:
Material: TbSb2Pb
Method: DFT, PBE
State: optimized geometry

Formation energy without anion corrections: -0.46 eV/atom
Excess energy over the best structure of this formula in the dataset: 0 meV per atom

POSCAR file:
```
TbSb2Pb
1.0
-3.3372 0.1276 -2.4461
-1.8012 -2.9295 2.3045
-2.6673 4.6952 3.8839
Pb Sb Tb
1 2 1
direct
0.5000 0.5000 0.5000
0.0000 0.0000 0.7712
0.0000 0.0000 0.2288
0.5000 0.5000 0.0000
```

Entry 5:
Material: Tb4Sb2Pb
Method: DFT, PBE
State: optimized geometry

Formation energy without anion corrections: -0.69 eV/atom

POSCAR file:
```
Tb4Sb2Pb
1.0
-1.8112 7.6454 2.8945
-2.1030 -5.8369 5.6231
8.2290 -0.4752 -1.4683
Tb Sb Pb
8 4 2
direct
0.9329 0.2464 0.3134
0.3171 0.5036 0.1866
0.9330 0.6195 0.6866
0.7536 0.0671 0.6866
0.3805 0.0670 0.3134
0.3170 0.1305 0.8134
0.4964 0.6829 0.8134
0.8695 0.6830 0.1866
0.6250 0.3750 0.7500
0.6250 0.8750 0.2500
0.6250 0.3750 0.2500
0.1250 0.3750 0.7500
0.2500 0.7500 0.5000
0.0000 0.0000 0.0000
```

Entry 6:
Material: Tb6Sb3Pb
Method: DFT, PBE
State: optimized geometry

Formation energy without anion corrections: -0.68 eV/atom

POSCAR file:
```
Tb6Sb3Pb
1.0
-4.3730 6.2490 -0.6226
-1.2453 -1.7730 -9.0487
-6.8832 -4.3702 4.4829
Tb Sb Pb
12 6 2
direct
0.1503 0.7246 0.6224
0.6503 0.6224 0.7246
0.2509 0.4710 0.9198
0.7509 0.9198 0.4710
0.2546 0.9966 0.0034
0.6198 0.2475 0.7525
0.1198 0.7525 0.2475
0.7546 0.0034 0.9966
0.2509 0.0802 0.5290
0.7509 0.5290 0.0802
0.1503 0.3776 0.2754
0.6503 0.2754 0.3776
0.4828 0.9165 0.7174
0.9828 0.7174 0.9165
0.3417 0.4181 0.5819
0.8417 0.5819 0.4181
0.9828 0.0835 0.2826
0.4828 0.2826 0.0835
0.0012 0.1743 0.8257
0.5012 0.8257 0.1743
```

Entry 7:
Material: Tb3Sb2Pb
Method: DFT, PBE
State: optimized geometry

Formation energy without anion corrections: -0.88 eV/atom

POSCAR file:
```
Tb3Sb2Pb
1.0
7.4967 0.1858 0.3200
-1.4874 7.5553 -0.2209
-1.4874 -3.9374 6.4520
Tb Sb Pb
6 4 2
direct
0.0004 0.1543 0.3268
0.5004 0.3268 0.1543
0.0000 0.5000 0.0000
0.9996 0.8457 0.6732
0.5000 0.0000 0.5000
0.4996 0.6732 0.8457
0.2500 0.9163 0.0837
0.2500 0.2518 0.7482
0.7500 0.0837 0.9163
0.7500 0.7482 0.2518
0.2500 0.5810 0.4190
0.7500 0.4190 0.5810
```

Entry 8:
Material: Tb8SbPb5
Method: DFT, PBE
State: optimized geometry

Formation energy without anion corrections: -0.62 eV/atom

POSCAR file:
```
Tb8SbPb5
1.0
7.6954 0.0000 -2.6714
-3.8276 6.6492 -2.7372
-0.0402 0.0000 8.1458
Tb Sb Pb
8 1 5
direct
0.1248 0.7478 0.0142
0.9858 0.1106 0.7336
0.7677 0.2499 0.3756
0.6244 0.3921 0.8743
0.4822 0.6079 0.2323
0.6230 0.8894 0.8752
0.2664 0.2522 0.3770
0.1257 0.7501 0.5178
0.2500 0.5000 0.7500
0.9993 0.3745 0.1244
0.8756 0.8750 0.2501
0.7499 0.6255 0.6248
0.5000 0.0000 0.5000
0.3752 0.1250 0.0007
```

Entry 9:
Material: Tb5Sb2Pb2
Method: DFT, PBE
State: optimized geometry

Formation energy without anion corrections: -0.80 eV/atom
Excess energy over the best structure of this formula in the dataset: 0 meV per atom

POSCAR file:
```
Tb5Sb2Pb2
1.0
8.2715 0.0000 0.0000
0.0000 7.3190 -3.7625
0.0000 -0.1061 8.7936
Tb Sb Pb
10 4 4
direct
0.0000 0.0000 0.0000
0.5000 0.5000 0.0000
0.8382 0.8032 0.2753
0.1618 0.4721 0.2753
0.3382 0.9721 0.2753
0.6618 0.3032 0.2753
0.1618 0.1968 0.7247
0.8382 0.5279 0.7247
0.6618 0.0279 0.7247
0.3382 0.6968 0.7247
0.0000 0.2014 0.4028
0.5000 0.7014 0.4028
0.0000 0.7986 0.5972
0.5000 0.2986 0.5972
0.6394 0.8606 0.0000
0.3606 0.1394 0.0000
0.1394 0.6394 0.0000
0.8606 0.3606 0.0000
```

Entry 10:
Material: Tb8Sb5Pb
Method: DFT, PBE
State: optimized geometry

Formation energy without anion corrections: -0.93 eV/atom

POSCAR file:
```
Tb8Sb5Pb
1.0
-7.8137 0.0086 1.8329
3.1478 -7.1673 1.7704
3.7624 5.6859 4.2343
Tb Sb Pb
8 5 1
direct
0.1246 0.7538 0.0217
0.9783 0.1029 0.7321
0.7666 0.2497 0.3729
0.6271 0.3937 0.8769
0.4832 0.6063 0.2334
0.6292 0.8971 0.8754
0.2679 0.2462 0.3708
0.1231 0.7503 0.5168
0.0018 0.3764 0.1265
0.8735 0.8753 0.2500
0.7500 0.6236 0.6253
0.5000 0.0000 0.5000
0.3747 0.1247 0.9982
0.2500 0.5000 0.7500
```

Entry 11:
Material: Tb5Sb4Pb
Method: DFT, PBE
State: optimized geometry

Formation energy without anion corrections: -0.99 eV/atom
Excess energy over the best structure of this formula in the dataset: 0 meV per atom

POSCAR file:
```
Tb5Sb4Pb
1.0
-3.4714 0.9749 2.4905
-1.6094 -6.2987 4.0776
4.0511 1.6515 8.8555
Tb Sb Pb
5 4 1
direct
0.2014 0.9014 0.6958
0.7986 0.0986 0.3042
0.3968 0.3100 0.8964
0.0000 0.5000 0.5000
0.6032 0.6900 0.1036
0.5996 0.2008 0.6000
0.2009 0.3974 0.2008
0.7991 0.6026 0.7992
0.4004 0.7992 0.4000
0.0000 0.0000 0.0000
```

Entry 12:
Material: TbSb2Pb
Method: DFT, PBE
State: optimized geometry

Formation energy without anion corrections: -0.42 eV/atom
Excess energy over the best structure of this formula in the dataset: 47 meV per atom

POSCAR file:
```
TbSb2Pb
1.0
-0.6546 2.0374 -3.5548
0.7393 -4.4170 -2.6677
-5.0941 -1.0542 0.3338
Pb Sb Tb
1 2 1
direct
0.5000 0.0000 0.0000
0.0000 0.0000 0.5000
0.0000 0.5000 0.0000
0.5000 0.5000 0.5000
```